[1]
CaTbU2As4 | PBE-GGA | optimized geometry

a = 7.163 Å, b = 7.163 Å, c = 7.163 Å
α = 132.00°, β = 132.00°, γ = 70.23°
Positions (direct):
Ca: 0.000 0.000 0.000
Tb: 0.250 0.750 0.500
U: 0.500 0.500 0.000
U: 0.750 0.250 0.500
As: 0.257 0.257 0.000
As: 0.504 0.004 0.500
As: 0.743 0.743 0.000
As: 0.996 0.496 0.500

Crystal system ... tetragonal
Calculated formation energy ... -1.031 eV/atom
Magnetic moment ... 4.7 μB per formula unit


[2]
K2LiPuCl5 | PBE-GGA | optimized geometry

a = 9.290 Å, b = 9.290 Å, c = 13.798 Å
α = 90.00°, β = 90.00°, γ = 153.96°
Positions (direct):
K: 0.094 0.906 0.500
K: 0.127 0.873 0.162
K: 0.873 0.127 0.662
K: 0.906 0.094 0.000
Li: 0.447 0.553 0.259
Li: 0.553 0.447 0.759
Pu: 0.203 0.797 0.864
Pu: 0.797 0.203 0.364
Cl: 0.045 0.955 0.845
Cl: 0.287 0.713 0.504
Cl: 0.312 0.688 0.223
Cl: 0.356 0.644 0.837
Cl: 0.497 0.503 0.609
Cl: 0.503 0.497 0.109
Cl: 0.644 0.356 0.337
Cl: 0.688 0.312 0.723
Cl: 0.713 0.287 0.004
Cl: 0.955 0.045 0.345

Crystal system ... orthorhombic
ΔE_f (raw) ... -1.844 eV/atom
Magnetic moment ... 6.0 μB per formula unit


[3]
SrMgIr2 | PBE-GGA | optimized geometry

a = 3.493 Å, b = 3.493 Å, c = 7.717 Å
α = 90.00°, β = 90.00°, γ = 90.00°
Positions (direct):
Sr: 0.000 0.000 0.000
Mg: 0.500 0.500 0.637
Ir: 0.000 0.000 0.391
Ir: 0.500 0.500 0.298

Crystal system ... tetragonal
Calculated formation energy ... 0.145 eV/atom
Magnetic moment ... 0.0 μB per formula unit


[4]
Sr2AcGaO5 | PBE-GGA | optimized geometry

a = 7.541 Å, b = 7.541 Å, c = 7.541 Å
α = 125.87°, β = 125.87°, γ = 80.10°
Positions (direct):
Sr: 0.174 0.674 0.847
Sr: 0.326 0.174 0.500
Sr: 0.674 0.826 0.500
Sr: 0.826 0.326 0.153
Ac: 0.250 0.250 0.000
Ac: 0.750 0.750 0.000
Ga: 0.250 0.750 0.500
Ga: 0.750 0.250 0.500
O: 0.000 0.000 0.000
O: 0.001 0.802 0.500
O: 0.198 0.698 0.198
O: 0.302 0.501 0.500
O: 0.499 0.999 0.802
O: 0.500 0.500 0.000
O: 0.501 0.001 0.198
O: 0.698 0.499 0.500
O: 0.802 0.302 0.802
O: 0.999 0.198 0.500

Crystal system ... tetragonal
ΔE_f (raw) ... -2.691 eV/atom
Magnetic moment ... 0.0 μB per formula unit


[5]
AcPm2Al2Ag2 | PBE-GGA | optimized geometry

a = 9.932 Å, b = 9.932 Å, c = 9.932 Å
α = 27.78°, β = 27.78°, γ = 27.78°
Positions (direct):
Ac: 0.000 0.000 0.000
Pm: 0.129 0.129 0.129
Pm: 0.871 0.871 0.871
Al: 0.254 0.254 0.254
Al: 0.746 0.746 0.746
Ag: 0.408 0.408 0.408
Ag: 0.592 0.592 0.592

Crystal system ... trigonal
Calculated formation energy ... -0.288 eV/atom
Magnetic moment ... 0.0 μB per formula unit


[6]
CaRhAuO2 | PBE-GGA | optimized geometry

a = 4.043 Å, b = 4.043 Å, c = 5.164 Å
α = 90.00°, β = 90.00°, γ = 90.00°
Positions (direct):
Ca: 0.000 0.000 0.000
Rh: 0.500 0.500 0.500
Au: 0.500 0.500 0.000
O: 0.000 0.500 0.500
O: 0.500 0.000 0.500

Crystal system ... tetragonal
ΔE_f (raw) ... -0.596 eV/atom
Magnetic moment ... 1.3 μB per formula unit


[7]
AgSnSbSe3 | PBE-GGA | optimized geometry

a = 8.815 Å, b = 4.044 Å, c = 9.330 Å
α = 90.00°, β = 97.90°, γ = 90.00°
Positions (direct):
Ag: 0.070 0.250 0.100
Ag: 0.930 0.750 0.900
Sn: 0.197 0.250 0.768
Sn: 0.803 0.750 0.232
Sb: 0.325 0.750 0.369
Sb: 0.675 0.250 0.631
Se: 0.113 0.250 0.387
Se: 0.247 0.750 0.994
Se: 0.414 0.750 0.655
Se: 0.586 0.250 0.345
Se: 0.753 0.250 0.006
Se: 0.887 0.750 0.613

Crystal system ... monoclinic
ΔE_f (raw) ... -0.236 eV/atom
Magnetic moment ... 0.0 μB per formula unit


[8]
LaTiCl2F | PBE-GGA | optimized geometry

a = 4.617 Å, b = 4.617 Å, c = 5.627 Å
α = 90.00°, β = 90.00°, γ = 90.00°
Positions (direct):
La: 0.000 0.000 0.000
Ti: 0.000 0.000 0.500
Cl: 0.000 0.500 0.500
Cl: 0.500 0.000 0.500
F: 0.500 0.500 0.000

Crystal system ... tetragonal
ΔE_f (raw) ... -1.320 eV/atom
Magnetic moment ... 0.0 μB per formula unit


How do the records compare in E_tot? In the order shown, they have -7.01 -4.92 -5.10 -6.61 -4.12 -5.11 -3.81 -5.00 eV/atom.